[1]
Computed, not measured: an optimized crystal structure of AlP2Br at the PBE-GGA level of DFT.

extended XYZ file:
```
4
Lattice="4.872 0.000 0.000 0.000 4.872 0.000 0.000 0.000 3.041" Properties=species:S:1:pos:R:3 pbc="T T T"
P 0.000 0.000 0.000
Al 2.436 0.000 1.521
Br 0.000 2.436 1.521
P 2.436 2.436 0.000
```

Results
- offset from the most stable computed form (meV per atom) = 826
- total magnetization (Bohr magnetons per cell) = 0.00
- crystal system = tetragonal
- symmetry = P4/mmm, No. 123
- E_form (uncorrected) (kJ/mol of formula units) = 262
- density (g cm⁻³) = 3.883

=====

[2]
Computed, not measured: an optimized crystal structure of AlPBr2 at the PBE-GGA level of DFT.

extended XYZ file:
```
4
Lattice="-3.115 -5.359 6.858 0.036 -4.627 8.003 -1.470 1.935 2.807" Properties=species:S:1:pos:R:3 pbc="T T T"
Al -1.137 -2.013 4.417
Br -3.056 -8.457 13.818
P -3.412 -6.038 13.250
Br -2.298 -5.554 9.875
```

Results
- offset from the most stable computed form (meV per atom) = 343
- total magnetization (Bohr magnetons per cell) = 0.00
- crystal system = monoclinic
- symmetry = C2/m, No. 12
- E_form (uncorrected) (kJ/mol of formula units) = -96
- density (g cm⁻³) = 3.408

=====

[3]
Computed, not measured: an optimized crystal structure of AlP6Br at the PBE-GGA level of DFT.

extended XYZ file:
```
16
Lattice="-4.530 8.297 -2.067 -6.930 -0.466 1.247 0.113 5.563 5.630" Properties=species:S:1:pos:R:3 pbc="T T T"
P -5.201 1.699 2.979
Br -6.006 4.845 1.073
P -1.734 6.771 2.775
P -6.145 11.694 1.831
P -9.612 6.622 2.034
P -7.876 11.385 3.204
P -3.470 2.009 1.606
Al -7.437 9.809 4.947
Br -5.340 8.548 3.736
P -8.600 7.807 5.503
P -8.326 8.255 1.111
Al -3.910 3.584 -0.137
P -2.747 5.586 -0.693
P -6.433 13.071 3.522
P -4.913 0.322 1.288
P -3.020 5.139 3.698
```

Results
- total magnetization (Bohr magnetons per cell) = 0.00
- crystal system = triclinic
- symmetry = P-1, No. 2
- E_form (uncorrected) (kJ/mol of formula units) = -17
- density (g cm⁻³) = 2.172

=====

[4]
Computed, not measured: an optimized crystal structure of AlPBr2 at the PBE-GGA level of DFT.

extended XYZ file:
```
4
Lattice="3.858 -0.015 0.000 -2.064 3.260 0.000 0.000 0.000 8.832" Properties=species:S:1:pos:R:3 pbc="T T T"
Br 0.000 0.000 8.078
Br 0.897 1.622 2.946
Al 0.897 1.622 6.245
P 0.000 0.000 4.813
```

Results
- offset from the most stable computed form (meV per atom) = 584
- total magnetization (Bohr magnetons per cell) = 0.00
- crystal system = orthorhombic
- symmetry = Cmm2, No. 35
- E_form (uncorrected) (kJ/mol of formula units) = -3
- density (g cm⁻³) = 3.264

=====

[5]
Computed, not measured: an optimized crystal structure of AlP2Br at the PBE-GGA level of DFT.

extended XYZ file:
```
4
Lattice="11.355 0.001 0.001 10.969 2.933 0.001 10.969 1.442 2.554" Properties=species:S:1:pos:R:3 pbc="T T T"
P 17.572 2.310 1.349
P 32.367 4.255 2.485
Al 8.323 1.094 0.639
Br 24.970 3.282 1.917
```

Results
- offset from the most stable computed form (meV per atom) = 435
- total magnetization (Bohr magnetons per cell) = 0.00
- crystal system = trigonal
- symmetry = R-3m, No. 166
- E_form (uncorrected) (kJ/mol of formula units) = 111
- density (g cm⁻³) = 3.298

=====

[6]
Computed, not measured: an optimized crystal structure of AlPBr2 at the PBE-GGA level of DFT.

extended XYZ file:
```
4
Lattice="5.100 0.033 0.052 -2.081 4.561 0.050 0.938 2.675 4.240" Properties=species:S:1:pos:R:3 pbc="T T T"
Br 0.000 0.000 0.000
Al 1.510 2.297 0.051
Br 3.019 1.354 2.146
P -0.571 3.618 2.145
```

Results
- offset from the most stable computed form (meV per atom) = 869
- total magnetization (Bohr magnetons per cell) = 0.00
- crystal system = orthorhombic
- symmetry = Fmmm, No. 69
- E_form (uncorrected) (kJ/mol of formula units) = 107
- density (g cm⁻³) = 3.700